## Nd2HoTl (PBE)

Data for Nd2HoTl after structural relaxation.

Unit cell a=7.8979 b=7.8979 c=7.8979 alpha=90.00 beta=90.00 gamma=90.00
Closest atoms and distances in Å follow each position.
Space group Fm-3m (No. 225)
Asymmetric unit:
Nd 0.2500 0.2500 0.2500  4 Tl 3.42, 4 Ho 3.42
Ho 0.0000 0.0000 0.0000  8 Nd 3.42
Tl 0.0000 0.0000 0.5000  8 Nd 3.42

Output
- energy above the lowest structure with this stoichiometry (meV per atom) = 126
- raw total energy (eV for the cell shown) = -67.00
- formation energy (eV per formula unit) = -0.3
- spin magnetization (μB per atom) = 0.284

## La2PmSe2S2 (PBE)

Data for La2PmSe2S2 after structural relaxation.

Unit cell a=5.2537 b=5.2537 c=15.1691 alpha=90.00 beta=90.00 gamma=90.00
Closest atoms and distances in Å follow each position.
Space group I4/mmm (No. 139)
Asymmetric unit:
La 0.0000 0.0000 0.1222  1 Se 2.87, 4 S 3.21
Pm 0.0000 0.0000 0.5000  4 S 2.63, 2 Se 2.86
Se 0.0000 0.0000 0.3117  1 Pm 2.86, 1 La 2.87
S 0.0000 0.5000 0.0000  2 Pm 2.63

Output
- raw total energy (eV for the cell shown) = -83.70
- formation energy from raw total energies (meV/atom) = -1717.0
- spin magnetization (μB per atom) = 0.075

## VReGe2 (PBE)

Data for VReGe2 after structural relaxation.

Unit cell a=6.1708 b=6.1708 c=6.1708 alpha=90.00 beta=90.00 gamma=90.00
Closest atoms and distances in Å follow each position.
Space group Fm-3m (No. 225)
Asymmetric unit:
V 0.0000 0.0000 0.0000  8 Ge 2.67
Re 0.0000 0.0000 0.5000  8 Ge 2.67
Ge 0.2500 0.2500 0.2500  4 Re 2.67, 4 V 2.67

Output
- energy above the lowest structure with this stoichiometry (meV per atom) = 0
- raw total energy (eV for the cell shown) = -121.71
- formation energy (eV per formula unit) = 0.4
- spin magnetization (μB per atom) = 0.463

Repeat the second record exactly.
## La2PmSe2S2 (PBE)

Data for La2PmSe2S2 after structural relaxation.

Unit cell a=5.2537 b=5.2537 c=15.1691 alpha=90.00 beta=90.00 gamma=90.00
Closest atoms and distances in Å follow each position.
Space group I4/mmm (No. 139)
Asymmetric unit:
La 0.0000 0.0000 0.1222  1 Se 2.87, 4 S 3.21
Pm 0.0000 0.0000 0.5000  4 S 2.63, 2 Se 2.86
Se 0.0000 0.0000 0.3117  1 Pm 2.86, 1 La 2.87
S 0.0000 0.5000 0.0000  2 Pm 2.63

Output
- raw total energy (eV for the cell shown) = -83.70
- formation energy from raw total energies (meV/atom) = -1717.0
- spin magnetization (μB per atom) = 0.075